[1]
Density functional theory data (PBE) for a geometry-optimized Cs3LaY2Se6 structure.

formation energy without anion corrections	-1.76	eV per atom
magnetic moment	0.00	μB per cell

Cell lengths 7.526, 13.035, 8.750 Å; angles 90.00, 106.67, 90.00 degrees
Space group C2/m (No. 12)
Asymmetric unit:
Cs 0.000 0.000 0.000
Cs 0.000 0.335 0.000
La 0.000 0.500 0.500
Y 0.000 0.167 0.500
Se 0.218 0.000 0.687
Se 0.235 0.328 0.688

***

[2]
Density functional theory data (PBE) for a geometry-optimized Cs4La3ZnSe8 structure.

formation energy without anion corrections	-1.43	eV per atom
magnetic moment	0.00	μB per cell

Cell lengths 15.589, 8.743, 9.785 Å; angles 90.00, 120.96, 90.00 degrees
Space group C2/m (No. 12)
Asymmetric unit:
Cs 0.000 0.000 0.000
Cs 0.000 0.500 0.000
Cs 0.250 0.250 0.000
La 0.000 0.000 0.500
La 0.250 0.250 0.500
Zn 0.000 0.500 0.500
Se 0.020 0.277 0.327
Se 0.227 0.000 0.693
Se 0.249 0.500 0.707

***

[3]
Density functional theory data (PBE) for a geometry-optimized Cs2LaZn2Se4 structure.

formation energy without anion corrections	-1.15	eV per atom
magnetic moment	0.00	μB per cell

Cell lengths 16.016, 4.603, 8.410 Å; angles 90.00, 108.83, 90.00 degrees
Space group C2/m (No. 12)
Asymmetric unit:
Cs 0.135 0.000 0.063
La 0.000 0.000 0.500
Zn 0.174 0.500 0.500
Se 0.023 0.500 0.275
Se 0.201 0.000 0.648